# PmCr2CdO8

A relaxed structure of PmCr2CdO8 (PBE with a Hubbard U, the Alexandria database).

Total energy (eV/atom): -6.75
Crystal system: tetragonal
Calculated volume (Å³/cell): 172

Cell: 6.0906 6.0906 6.0906 Å, 105.77 105.77 117.16°
Sites, in units of the cell vectors:
Pm 0.0000 0.0000 0.0000
Cr 0.7500 0.2500 0.5000
Cr 0.5000 0.5000 0.0000
Cd 0.2500 0.7500 0.5000
O 0.3980 0.0829 0.3151
O 0.3368 0.5146 0.1777
O 0.3368 0.1591 0.8223
O 0.7678 0.0829 0.6849
O 0.8409 0.6632 0.1777
O 0.9171 0.2322 0.3151
O 0.9171 0.6020 0.6849
O 0.4854 0.6632 0.8223